DFT (PBE) results for crystalline AlBr4 at its relaxed geometry.

Values from the calculation:
ΔE_f (raw) ... -0.0731 eV/atom
Offset from the most stable computed form ... 0.656 eV per atom
Total magnetization ... 0.000 μB per atom
Crystal system ... cubic
Space group ... Im-3m (229)

abc: 6.5603 6.5603 6.5603
angles: 90.00 90.00 90.00
Sites, in units of the cell vectors:
Al1 0.0000 0.0000 0.0000
Al2 0.5000 0.5000 0.5000
Br1 0.2500 0.2500 0.2500
Br2 0.2500 0.2500 0.7500
Br3 0.2500 0.7500 0.2500
Br4 0.2500 0.7500 0.7500
Br5 0.7500 0.2500 0.2500
Br6 0.7500 0.2500 0.7500
Br7 0.7500 0.7500 0.2500
Br8 0.7500 0.7500 0.7500